A plane-wave DFT calculation with PBE was carried out for an optimized crystal structure of Ni2IrRhN.

Summary:
Uncorrected formation energy: 0.29 eV/atom
Volume: 11.9 A^3/atom
Space-group type: P4/mmm
D(E_F): 1.377 states/eV/atom
Crystal system: tetragonal
DFT total energy: -6.926 eV/atom

Unit cell a=3.882 b=3.936 c=3.882 alpha=90.00 beta=90.00 gamma=90.00
Sites, in units of the cell vectors:
Ni (0.000, 0.000, 0.500)
Ni (0.500, 0.000, 0.000)
Ir (0.000, 0.500, 0.000)
N (0.000, 0.000, 0.000)
Rh (0.500, 0.500, 0.500)

---

A plane-wave DFT calculation with PBE was carried out for an optimized crystal structure of NiIrS2N.

Summary:
Uncorrected formation energy: 1.00 eV/atom
Offset from the most stable computed form: 187.2 meV per atom
Volume: 14.0 A^3/atom
Space-group type: P4/mmm
D(E_F): 0.869 states/eV/atom
Crystal system: tetragonal
DFT total energy: -5.241 eV/atom

Unit cell a=4.608 b=4.608 c=3.306 alpha=90.00 beta=90.00 gamma=90.00
Sites, in units of the cell vectors:
N (0.000, 0.000, 0.500)
S (0.000, 0.500, 0.000)
S (0.500, 0.000, 0.000)
Ir (0.500, 0.500, 0.500)
Ni (0.000, 0.000, 0.000)

---

A plane-wave DFT calculation with PBE was carried out for an optimized crystal structure of NiIrS2N.

Summary:
Uncorrected formation energy: 0.82 eV/atom
Offset from the most stable computed form: 0.0 meV per atom
Volume: 17.0 A^3/atom
Space-group type: P4/mmm
D(E_F): 1.165 states/eV/atom
Crystal system: tetragonal
DFT total energy: -5.429 eV/atom

Unit cell a=4.844 b=4.844 c=3.618 alpha=90.00 beta=90.00 gamma=90.00
Sites, in units of the cell vectors:
N (0.000, 0.000, 0.500)
Ir (0.000, 0.000, 0.000)
Ni (0.500, 0.500, 0.500)
S (0.500, 0.000, 0.000)
S (0.000, 0.500, 0.000)